The following is a DFT calculation (PBE with a Hubbard U) of a geometry-optimized Cu2NiBi2O6 structure. Values from VASP.

Cell and atoms, written as Quantum ESPRESSO input:
```
&SYSTEM
  ibrav = 0, nat = 11, ntyp = 4
/
ATOMIC_SPECIES
Cu 63.55 Cu.upf
Ni 58.69 Ni.upf
Bi 208.98 Bi.upf
O 16.00 O.upf
CELL_PARAMETERS angstrom
5.8763 0.0000 0.0000
2.9381 5.0890 0.0000
2.9381 1.6963 5.2036
ATOMIC_POSITIONS crystal
Cu 0.4179 0.4179 0.7463
Cu 0.5821 0.5821 0.2537
Ni 0.0000 0.0000 0.0000
Bi 0.8082 0.8082 0.5754
Bi 0.1918 0.1918 0.4246
O 0.7618 0.7618 0.2679
O 0.2085 0.7618 0.2679
O 0.7618 0.2085 0.2679
O 0.2382 0.7915 0.7321
O 0.7915 0.2382 0.7321
O 0.2382 0.2382 0.7321
```

Results
- density of states at the Fermi level (states/eV/atom) = 0.392
- energy (eV/atom) = -5.1196
- symmetry = R-3m